Compound: Tb3Al3Ni2Ge
Source: OQMD via LeMat-Bulk
Functional: PBE
Structure: optimized geometry

As for the energy above the lowest structure with this stoichiometry: 364.2 meV per atom. The value obtained for the mass density is 6.97 g/cm3. The crystal system is hexagonal. The magnetic moment is 0.06 μB per cell.

The structure belongs to space group P-62m (No. 189); the cell edges are 7.9290, 7.9290 and 3.2735 Å and the angles 90.00°, 90.00° and 120.00°. The distinct sites, in fractional coordinates, are Tb at (0.0000, 0.3029, 0.0000), Al at (0.0000, 0.6229, 0.5000), Ni at (0.3333, 0.6667, 0.0000) and Ge at (0.0000, 0.0000, 0.5000).

---

Compound: LaMgAg2
Source: OQMD via LeMat-Bulk
Functional: PBE
Structure: optimized geometry

Its electronic total energy is -3.329 eV per atom. The value obtained for the mass density is 6.64 g/cm3. The crystal system is hexagonal. The magnetic moment is 0.04 μB per cell.

The structure belongs to space group P6_3/mmc (No. 194); the cell edges are 4.8522, 4.8522 and 9.3025 Å and the angles 90.00°, 90.00° and 120.00°. The distinct sites, in fractional coordinates, are La at (0.3333, 0.6667, 0.2500), Mg at (0.0000, 0.0000, 0.0000) and Ag at (0.3333, 0.6667, 0.5842).

---

Compound: HoInTe
Source: OQMD via LeMat-Bulk
Functional: PBE
Structure: optimized geometry

Its electronic total energy is -3.794 eV per atom. The value obtained for the mass density is 7.04 g/cm3. The crystal system is cubic. The magnetic moment is 0.00 μB per cell.

The structure belongs to space group F-43m (No. 216); the cell edges are 7.270, 7.270 and 7.270 Å and the angles 90.00°, 90.00° and 90.00°. The distinct sites, in fractional coordinates, are Ho at (0.000, 0.000, 0.000), In at (0.000, 0.000, 0.500) and Te at (0.250, 0.250, 0.750).

---

Compound: YHoNi2B4
Source: OQMD via LeMat-Bulk
Functional: PBE
Structure: optimized geometry

Its electronic total energy is -6.358 eV per atom. The value obtained for the mass density is 6.63 g/cm3. The crystal system is tetragonal. The magnetic moment is 0.22 μB per cell.

The structure belongs to space group P4mm (No. 99); the cell edges are 3.659, 3.659 and 7.750 Å and the angles 90.00°, 90.00° and 90.00°. The distinct sites, in fractional coordinates, are Y at (0.000, 0.000, 0.000), Ho at (0.500, 0.500, 0.645), Ni at (0.000, 0.500, 0.323), B at (0.000, 0.000, 0.455), B at (0.000, 0.000, 0.664), B at (0.500, 0.500, 0.190) and B at (0.500, 0.500, 0.980).

---

Compound: HoHgGe
Source: OQMD via LeMat-Bulk
Functional: PBE
Structure: optimized geometry

Its electronic total energy is -3.365 eV per atom. The value obtained for the mass density is 8.99 g/cm3. The crystal system is cubic. The magnetic moment is 0.01 μB per cell.

The structure belongs to space group F-43m (No. 216); the cell edges are 6.867, 6.867 and 6.867 Å and the angles 90.00°, 90.00° and 90.00°. The distinct sites, in fractional coordinates, are Ho at (0.000, 0.000, 0.000), Hg at (0.250, 0.250, 0.250) and Ge at (0.250, 0.250, 0.750).

---

Compound: MgScBPd
Source: OQMD via LeMat-Bulk
Functional: PBE
Structure: optimized geometry

As for the energy above the lowest structure with this stoichiometry: 0.0 meV per atom. The value obtained for the mass density is 5.13 g/cm3. The crystal system is cubic. The magnetic moment is 0.00 μB per cell.

The structure belongs to space group F-43m (No. 216); the cell edges are 6.227, 6.227 and 6.227 Å and the angles 90.00°, 90.00° and 90.00°. The distinct sites, in fractional coordinates, are Mg at (0.000, 0.000, 0.000), Sc at (0.000, 0.000, 0.500), B at (0.250, 0.250, 0.750) and Pd at (0.250, 0.250, 0.250).

---

Compound: Mg2ScAg
Source: OQMD via LeMat-Bulk
Functional: PBE
Structure: optimized geometry

Its electronic total energy is -3.221 eV per atom. The value obtained for the mass density is 4.16 g/cm3. The crystal system is cubic. The magnetic moment is 0.02 μB per cell.

The structure belongs to space group F-43m (No. 216); the cell edges are 6.851, 6.851 and 6.851 Å and the angles 90.00°, 90.00° and 90.00°. The distinct sites, in fractional coordinates, are Mg at (0.000, 0.000, 0.000), Mg at (0.250, 0.250, 0.250), Sc at (0.000, 0.000, 0.500) and Ag at (0.250, 0.250, 0.750).

---

Compound: LaB4Mo
Source: OQMD via LeMat-Bulk
Functional: PBE
Structure: optimized geometry

As for the energy above the lowest structure with this stoichiometry: 276.9 meV per atom. The value obtained for the mass density is 6.86 g/cm3. The crystal system is orthorhombic. The magnetic moment is 0.00 μB per cell.

The structure belongs to space group Immm (No. 71); the cell edges are 3.182, 5.561 and 7.613 Å and the angles 90.00°, 90.00° and 90.00°. The distinct sites, in fractional coordinates, are La at (0.000, 0.000, 0.000), B at (0.000, 0.340, 0.242) and Mo at (0.000, 0.000, 0.500).